# 1
Pm3CuGe2, optimized geometry, DFT PBE; theoretical density = 6.6 g/cm³; volume = 322 Å³ per cell; DOS at the Fermi energy = 0.3768 states/eV/atom; E_form = -0.4671 eV per atom; SG = C2/c; distance to the lowest polymorph of the same formula = 0.2093 eV per atom
1.0
6.056 0.000 0.000
0.000 8.187 -0.004
-3.028 -2.054 6.489
Cu Ge Pm
2 4 6
Direct
0.896 0.750 0.000
0.104 0.250 0.000
0.652 0.578 0.318
0.348 0.422 0.682
0.333 0.922 0.682
0.667 0.078 0.318
0.820 0.912 0.652
0.411 0.750 0.000
0.832 0.412 0.652
0.589 0.250 0.000
0.180 0.088 0.348
0.168 0.588 0.348

---

# 2
SrAlTe2O8, optimized geometry, DFT PBE; theoretical density = 5.3 g/cm³; volume = 157 Å³ per cell; DOS at the Fermi energy = 0.1255 states/eV/atom; raw formation energy = -18.9 eV/f.u.; SG = Cmmm
1.0
4.878 0.246 -0.004
0.323 4.873 -0.006
0.005 0.007 6.616
O Te Al Sr
8 2 1 1
Direct
0.664 0.664 0.500
0.201 0.799 0.205
0.799 0.201 0.795
0.336 0.336 0.500
0.311 0.311 0.000
0.201 0.799 0.795
0.799 0.201 0.205
0.689 0.689 0.000
0.500 0.500 0.764
0.500 0.500 0.236
0.000 0.000 0.000
0.000 0.000 0.500

---

# 3
Li2CaSiPd2, optimized geometry, DFT PBE; theoretical density = 3.9 g/cm³; volume = 126 Å³ per cell; DOS at the Fermi energy = 0.3991 states/eV/atom; raw formation energy = -2.4 eV/f.u.; SG = P4/mmm
1.0
-2.525 -1.581 3.587
3.811 0.012 2.687
-1.140 5.433 1.593
Li Ca Pd Si
2 1 2 1
Direct
0.500 0.500 0.227
0.500 0.500 0.773
0.000 0.000 0.500
0.500 0.000 0.000
0.000 0.500 0.000
0.000 0.000 0.000

---

# 4
Ba2EuIn, optimized geometry, DFT PBE; theoretical density = 5.2 g/cm³; volume = 173 Å³ per cell; DOS at the Fermi energy = 0.7816 states/eV/atom; E_form = -0.1360 eV per atom; SG = P4/mmm; distance to the lowest polymorph of the same formula = 0.0406 eV per atom
1.0
-3.367 -3.353 -0.402
3.657 -3.990 2.654
-2.203 1.566 5.389
In Ba Eu
1 2 1
Direct
0.500 0.000 0.000
0.000 0.500 0.000
0.000 0.000 0.500
0.500 0.500 0.500

---

# 5
BaThCrN3, optimized geometry, DFT PBE; theoretical density = 6.9 g/cm³; volume = 224 Å³ per cell; DOS at the Fermi energy = 0.5975 states/eV/atom; raw formation energy = -5.8 eV/f.u.; SG = P2_1/m
1.0
-0.367 -0.458 -3.576
6.232 -5.240 0.032
-6.007 -4.741 1.225
N Th Ba Cr
6 2 2 2
Direct
0.750 0.857 0.172
0.250 0.563 0.867
0.750 0.437 0.133
0.250 0.143 0.828
0.750 0.143 0.525
0.250 0.857 0.475
0.250 0.640 0.175
0.750 0.360 0.825
0.750 0.819 0.800
0.250 0.181 0.200
0.250 0.080 0.591
0.750 0.920 0.409

---

# 6
Mg3Ni7As4, optimized geometry, DFT PBE; theoretical density = 6.6 g/cm³; volume = 198 Å³ per cell; DOS at the Fermi energy = 0.5794 states/eV/atom; E_form = -0.3690 eV per atom; SG = C2/m
1.0
-1.701 1.471 3.087
-6.991 -2.382 -0.356
-0.989 -6.170 4.758
As Ni Mg
4 7 3
Direct
0.331 0.576 0.763
0.891 0.897 0.320
0.109 0.103 0.680
0.669 0.424 0.237
0.488 0.241 0.784
0.168 0.586 0.077
0.309 0.867 0.515
0.832 0.414 0.923
0.512 0.759 0.216
0.000 0.000 0.000
0.691 0.133 0.485
0.662 0.822 0.855
0.338 0.178 0.145
0.000 0.500 0.500